Record 1
# LaYAgPt, optimized geometry, DFT PBE-GGA
data_LaYAgPt
_chemical_formula_sum 'La4 Y4 Ag4 Pt4'
_symmetry_space_group_name_H-M 'F -4 3 m'
_symmetry_Int_Tables_number 216
_symmetry_space_group_name_Hall 'F -4 2 3'
_cell_length_a 7.306
_cell_length_b 7.306
_cell_length_c 7.306
_cell_angle_alpha 90.00
_cell_angle_beta 90.00
_cell_angle_gamma 90.00
loop_
_atom_site_label
_atom_site_fract_x
_atom_site_fract_y
_atom_site_fract_z
La1 0.000 0.000 0.000
Y1 0.000 0.000 0.500
Ag1 0.250 0.250 0.750
Pt1 0.250 0.250 0.250
# Final energy in eV/atom: -5.773
# Spin magnetization in μB per formula unit: 0.0
# Energy of formation from the pure elements in meV/atom: -703

Record 2
# La2Zn2AgPt5, optimized geometry, DFT PBE-GGA
data_La2Zn2AgPt5
_chemical_formula_sum 'La4 Zn4 Ag2 Pt10'
_symmetry_space_group_name_H-M 'P 4/m b m'
_symmetry_Int_Tables_number 127
_symmetry_space_group_name_Hall '-P 4 2ab'
_cell_length_a 9.810
_cell_length_b 9.810
_cell_length_c 3.902
_cell_angle_alpha 90.00
_cell_angle_beta 90.00
_cell_angle_gamma 90.00
loop_
_atom_site_label
_atom_site_fract_x
_atom_site_fract_y
_atom_site_fract_z
La1 0.180 0.320 0.000
Zn1 0.118 0.618 0.000
Ag1 0.000 0.000 0.000
Pt1 0.000 0.500 0.500
Pt2 0.064 0.792 0.500
# Final energy in eV/atom: -5.250
# Spin magnetization in μB per formula unit: 0.0
# Energy of formation from the pure elements in meV/atom: -704

Record 3
# La2Zn4AgPt3, optimized geometry, DFT PBE-GGA
data_La2Zn4AgPt3
_chemical_formula_sum 'La2 Zn4 Ag1 Pt3'
_symmetry_space_group_name_H-M 'P -4 m 2'
_symmetry_Int_Tables_number 115
_cell_length_a 4.273
_cell_length_b 4.273
_cell_length_c 10.984
_cell_angle_alpha 90.00
_cell_angle_beta 90.00
_cell_angle_gamma 90.00
loop_
_symmetry_equiv_pos_as_xyz
'x,y,z'
'y,-x,-z'
'-x,-y,z'
'-y,x,-z'
'-x,y,z'
'-y,-x,-z'
'x,-y,z'
'y,x,-z'
loop_
_atom_site_label
_atom_site_fract_x
_atom_site_fract_y
_atom_site_fract_z
La1 0.000 0.500 0.244
Zn1 0.000 0.000 0.000
Zn2 0.000 0.500 0.633
Zn3 0.500 0.500 0.000
Ag1 0.000 0.000 0.500
Pt1 0.000 0.500 0.863
Pt2 0.500 0.500 0.500
# Final energy in eV/atom: -4.265
# Spin magnetization in μB per formula unit: 0.0
# Energy of formation from the pure elements in meV/atom: -672

Record 4
# La2Zn3AgPt4, optimized geometry, DFT PBE-GGA
data_La2Zn3AgPt4
_chemical_formula_sum 'La2 Zn3 Ag1 Pt4'
_symmetry_space_group_name_H-M 'P -4 m 2'
_symmetry_Int_Tables_number 115
_cell_length_a 4.161
_cell_length_b 4.161
_cell_length_c 11.524
_cell_angle_alpha 90.00
_cell_angle_beta 90.00
_cell_angle_gamma 90.00
loop_
_symmetry_equiv_pos_as_xyz
'x,y,z'
'y,-x,-z'
'-x,-y,z'
'-y,x,-z'
'-x,y,z'
'-y,-x,-z'
'x,-y,z'
'y,x,-z'
loop_
_atom_site_label
_atom_site_fract_x
_atom_site_fract_y
_atom_site_fract_z
La1 0.000 0.500 0.245
Zn1 0.000 0.500 0.873
Zn2 0.500 0.500 0.500
Ag1 0.000 0.000 0.500
Pt1 0.000 0.000 0.000
Pt2 0.000 0.500 0.655
Pt3 0.500 0.500 0.000
# Final energy in eV/atom: -4.807
# Spin magnetization in μB per formula unit: 0.0
# Energy of formation from the pure elements in meV/atom: -738